Density functional theory data (PBE+U) for a geometry-optimized SrNiO structure.

The structure in POSCAR format:
```
SrNiO
1.0
2.5288 -4.6185 0.0000
2.5288 4.6185 0.0000
0.0000 0.0000 4.6821
Sr Ni O
2 2 2
Direct
0.1870 0.8130 0.7500
0.8130 0.1870 0.2500
0.5000 0.5000 0.0000
0.5000 0.5000 0.5000
0.3273 0.6727 0.2500
0.6727 0.3273 0.7500
```

Summary:
DFT total energy in eV for the cell shown: -25.302
Calculated volume in Å³ per cell: 109.4
Calculated density in kg/m3: 4929